The following is a DFT calculation (PBE) of a relaxed Pr8P3HS4 crystal.

The structure belongs to space group R-3m (No. 166, hexagonal axes); the cell edges are 8.2498, 8.2498 and 20.1913 Å and the angles 90.00°, 90.00° and 120.00°. Symmetry generates all atoms from Pr at (0.0000, 0.0000, 0.2479), Pr at (0.0078, 0.5039, 0.7499), P at (0.0000, 0.5000, 0.5000), H at (0.0000, 0.0000, 0.5000), S at (0.0000, 0.0000, 0.0000) and S at (0.0000, 0.5000, 0.0000).

Its size of the total moment is 0.00 μB per formula unit. The value obtained for the electronic total energy is -6.29 eV per atom.

---

The following is a DFT calculation (PBE) of a relaxed Pr4SbP2H crystal.

The structure belongs to space group Cmcm (No. 63); the cell edges are 4.248, 13.849 and 14.262 Å and the angles 90.00°, 90.00° and 90.00°. Symmetry generates all atoms from Pr at (0.000, 0.000, 0.000), Pr at (0.000, 0.266, 0.116), Pr at (0.000, 0.436, 0.750), Sb at (0.000, 0.108, 0.750), P at (0.000, 0.365, 0.561) and H at (0.000, 0.156, 0.250).

Its size of the total moment is 0.00 μB per formula unit. The value obtained for the electronic total energy is -5.90 eV per atom.

---

The following is a DFT calculation (PBE) of a relaxed Pr4PHSe2 crystal.

The structure belongs to space group P2/m (No. 10); the cell edges are 7.107, 4.159 and 7.272 Å and the angles 90.00°, 108.81° and 90.00°. Symmetry generates all atoms from Pr at (0.243, 0.000, 0.231), Pr at (0.249, 0.500, 0.760), P at (0.000, 0.500, 0.000), H at (0.500, 0.000, 0.000), Se at (0.000, 0.000, 0.500) and Se at (0.500, 0.500, 0.500).

Its size of the total moment is 0.00 μB per formula unit. The value obtained for the electronic total energy is -5.73 eV per atom.

---

The following is a DFT calculation (PBE) of a relaxed PrTcPH2 crystal.

The structure belongs to space group Cmcm (No. 63); the cell edges are 3.857, 10.625 and 6.159 Å and the angles 90.00°, 90.00° and 90.00°. Symmetry generates all atoms from Pr at (0.000, 0.210, 0.250), Tc at (0.000, 0.500, 0.000), P at (0.000, 0.068, 0.750) and H at (0.000, 0.337, 0.557).

Its size of the total moment is 0.00 μB per formula unit. The value obtained for the electronic total energy is -6.07 eV per atom.

---

The following is a DFT calculation (PBE) of a relaxed PrTcPH crystal.

The structure belongs to space group P4/nmm (No. 129, origin choice 2); the cell edges are 4.087, 4.087 and 7.785 Å and the angles 90.00°, 90.00° and 90.00°. Symmetry generates all atoms from Pr at (0.250, 0.250, 0.169), Tc at (0.250, 0.750, 0.500), P at (0.250, 0.250, 0.657) and H at (0.250, 0.750, 0.000).

Its size of the total moment is 0.00 μB per formula unit. The value obtained for the electronic total energy is -6.80 eV per atom.

---

The following is a DFT calculation (PBE) of a relaxed PH3Pt crystal.

The structure belongs to space group Pm-3m (No. 221); the cell edges are 3.493, 3.493 and 3.493 Å and the angles 90.00°, 90.00° and 90.00°. Symmetry generates all atoms from P at (0.000, 0.000, 0.000), H at (0.000, 0.000, 0.500) and Pt at (0.500, 0.500, 0.500).

The energy above the lowest structure with this stoichiometry is 233.6 meV/atom. Its size of the total moment is 0.00 μB per formula unit.

---

The following is a DFT calculation (PBE) of a relaxed PH2Pt2 crystal.

The structure belongs to space group P4/mbm (No. 127); the cell edges are 6.681, 6.681 and 2.812 Å and the angles 90.00°, 90.00° and 90.00°. Symmetry generates all atoms from P at (0.000, 0.000, 0.000), H at (0.119, 0.381, 0.500) and Pt at (0.225, 0.275, 0.000).

The energy above the lowest structure with this stoichiometry is 0.0 meV/atom. Its size of the total moment is 0.00 μB per formula unit.

---

The following is a DFT calculation (PBE) of a relaxed P2HPt crystal.

The structure belongs to space group I-42d (No. 122); the cell edges are 5.047, 5.047 and 9.103 Å and the angles 90.00°, 90.00° and 90.00°. Symmetry generates all atoms from P at (0.189, 0.250, 0.125), H at (0.000, 0.000, 0.000) and Pt at (0.000, 0.000, 0.500).

Its size of the total moment is 0.00 μB per formula unit. The value obtained for the electronic total energy is -4.75 eV per atom.

---

The following is a DFT calculation (PBE) of a relaxed PHPt3 crystal.

The structure belongs to space group Pm-3m (No. 221); the cell edges are 4.036, 4.036 and 4.036 Å and the angles 90.00°, 90.00° and 90.00°. Symmetry generates all atoms from P at (0.000, 0.000, 0.000), H at (0.500, 0.500, 0.500) and Pt at (0.000, 0.500, 0.500).

The energy above the lowest structure with this stoichiometry is 0.0 meV/atom. Its size of the total moment is 0.00 μB per formula unit.

---

The following is a DFT calculation (PBE) of a relaxed PHPt crystal.

The structure belongs to space group P3_2 (No. 145); the cell edges are 5.4120, 5.4120 and 5.0446 Å and the angles 90.00°, 90.00° and 120.00°. Symmetry generates all atoms from P at (0.0526, 0.3696, 0.0000), H at (0.1711, 0.6963, 0.4942) and Pt at (0.0127, 0.7741, 0.9604).

Its size of the total moment is 0.00 μB per formula unit. The value obtained for the electronic total energy is -5.08 eV per atom.

---

The following is a DFT calculation (PBE) of a relaxed PH2Pt2 crystal.

The structure belongs to space group I4/mmm (No. 139); the cell edges are 3.083, 3.083 and 11.185 Å and the angles 90.00°, 90.00° and 90.00°. Symmetry generates all atoms from P at (0.000, 0.000, 0.000), H at (0.000, 0.500, 0.250) and Pt at (0.000, 0.000, 0.358).

The energy above the lowest structure with this stoichiometry is 147.5 meV/atom. Its size of the total moment is 0.00 μB per formula unit.

---

The following is a DFT calculation (PBE) of a relaxed PH3Pt crystal.

The structure belongs to space group Pm-3m (No. 221); the cell edges are 3.595, 3.595 and 3.595 Å and the angles 90.00°, 90.00° and 90.00°. Symmetry generates all atoms from P at (0.000, 0.000, 0.000), H at (0.000, 0.500, 0.500) and Pt at (0.500, 0.500, 0.500).

The energy above the lowest structure with this stoichiometry is 0.0 meV/atom. Its size of the total moment is 0.07 μB per formula unit.